Record 1
The following is a PBE calculation of crystalline CuTc2Pt at its relaxed geometry, from Alexandria.

Output
* volume: 57.21 Å³ per cell
* relative energy among the computed polymorphs: 7.3 kJ per mole of atoms
* space-group type: Pmmm (47)
* electronic total energy: -0.5644 Ry/atom

Cell: 4.0350 2.7204 5.8809 Å, 62.41 90.00 90.00°
With the nearest neighbours (Å) after each atom.
Fractional coordinates of all 4 atoms:
Tc  0.0000  0.9744  0.0261  1 Tc 2.33
Pt  0.5000  0.7500  0.7500  2 Cu 2.61, 2 Pt 2.72, 8 Tc 2.83
Tc  0.0000  0.5256  0.4739  1 Tc 2.33
Cu  0.5000  0.2500  0.2500  2 Pt 2.61, 8 Tc 2.70, 2 Cu 2.72

***

Record 2
The following is a PBE calculation of crystalline CuTc2Pt8 at its relaxed geometry, from Alexandria.

Output
* volume: 172.09 Å³ per cell
* space-group type: Immm (71)
* electronic total energy: -0.4886 Ry/atom

Cell: 4.3233 6.4967 7.2640 Å, 116.56 107.31 90.00°
With the nearest neighbours (Å) after each atom.
Fractional coordinates of all 11 atoms:
Pt  0.3584  0.5738  0.7168  1 Cu 2.54, 3 Tc 2.67-2.70, 4 Pt 2.77-2.80
Cu  0.5000  0.0000  0.0000  4 Pt 2.54
Pt  0.3584  0.1429  0.7168  1 Cu 2.54, 3 Tc 2.67-2.70, 4 Pt 2.77-2.80
Pt  0.6416  0.8571  0.2832  1 Cu 2.54, 3 Tc 2.67-2.70, 4 Pt 2.77-2.80
Tc  0.8020  0.3020  0.6040  10 Pt 2.67-2.77
Pt  0.0000  0.2934  0.0000  7 Pt 2.68-2.77, 2 Tc 2.77, 2 Cu 2.88
Pt  0.6416  0.4262  0.2832  1 Cu 2.54, 3 Tc 2.67-2.70, 4 Pt 2.77-2.80
Pt  0.0000  0.7066  0.0000  7 Pt 2.68-2.77, 2 Tc 2.77, 2 Cu 2.88
Pt  0.1635  0.1635  0.3270  2 Tc 2.75, 8 Pt 2.77-2.86, 2 Cu 2.95
Pt  0.8365  0.8365  0.6730  2 Tc 2.75, 8 Pt 2.77-2.86, 2 Cu 2.95
Tc  0.1980  0.6980  0.3960  10 Pt 2.67-2.77

***

Record 3
The following is a PBE calculation of crystalline CuTc2Pt at its relaxed geometry, from Alexandria.

Output
* volume: 57.44 Å³ per cell
* relative energy among the computed polymorphs: 12.0 kJ per mole of atoms
* space-group type: P4mm (99)
* electronic total energy: -0.5608 Ry/atom

Cell: 3.1260 3.1260 5.8775 Å, 90.00 90.00 90.00°
With the nearest neighbours (Å) after each atom.
Fractional coordinates of all 4 atoms:
Tc  0.5000  0.5000  0.2543  4 Tc 2.60, 4 Cu 2.63, 1 Pt 2.77
Cu  0.0000  0.0000  0.4982  4 Pt 2.58, 5 Tc 2.63-2.80
Tc  0.0000  0.0000  0.0217  4 Tc 2.60, 1 Cu 2.80, 4 Pt 2.81
Pt  0.5000  0.5000  0.7259  4 Cu 2.58, 5 Tc 2.77-2.81